Compound: ScSe2O
Source: Alexandria via LeMat-Bulk
Functional: GGA-PBEsol
Structure: relaxed

Values from the calculation:
* DOS(E_F): 2.49 states/eV/f.u.
* space-group type: No. 122
* E above lowest polymorph: 0.0000 eV/atom
* ΔE_f (raw): -0.42 eV/atom
* total magnetic moment: 0.0 μB per cell

Cell and atoms, written as POSCAR:
```
ScSe2O
1.0
-5.149 0.553 0.033
-0.461 -4.103 -3.126
2.429 -2.030 6.596
O Se Sc
2 4 2
Direct
0.750 0.250 0.500
0.500 0.500 0.000
0.803 0.375 0.250
0.447 0.875 0.250
0.625 0.553 0.750
0.125 0.197 0.750
0.250 0.750 0.500
0.000 0.000 0.000
```

=====

Compound: CaV2O5
Source: Alexandria via LeMat-Bulk
Functional: GGA-PBEsol
Structure: relaxed

Values from the calculation:
* space-group type: No. 63
* E above lowest polymorph: 0.0572 eV/atom
* ΔE_f (raw): -2.55 eV/atom
* total magnetic moment: 4.0 μB per cell

Cell and atoms, written as POSCAR:
```
CaV2O5
1.0
3.735 0.000 0.000
-1.867 5.516 0.000
0.000 0.000 11.046
O V Ca
10 4 2
Direct
0.290 0.580 0.250
0.759 0.517 0.075
0.759 0.517 0.425
0.241 0.483 0.575
0.057 0.114 0.383
0.943 0.886 0.617
0.057 0.114 0.117
0.241 0.483 0.925
0.943 0.886 0.883
0.710 0.420 0.750
0.796 0.593 0.597
0.796 0.593 0.903
0.204 0.407 0.097
0.204 0.407 0.403
0.900 0.800 0.250
0.100 0.200 0.750
```

=====

Compound: Mn3HgPb
Source: Alexandria via LeMat-Bulk
Functional: GGA-PBEsol
Structure: relaxed

Values from the calculation:
* DOS(E_F): 4.46 states/eV/f.u.
* space-group type: No. 221
* total magnetic moment: 13.1 μB per cell
* formation energy: 1399 meV per atom

Cell and atoms, written as POSCAR:
```
Mn3HgPb
1.0
5.110 0.000 0.000
0.000 5.110 0.000
0.000 0.000 5.110
Mn Hg Pb
3 1 1
Direct
0.000 0.000 0.500
0.500 0.000 0.000
0.000 0.500 0.000
0.500 0.500 0.500
0.000 0.000 0.000
```

=====

Compound: BaLiRh
Source: Alexandria via LeMat-Bulk
Functional: GGA-PBEsol
Structure: relaxed

Values from the calculation:
* DOS(E_F): 0.17 states/eV/f.u.
* space-group type: No. 187
* E above lowest polymorph: 0.0000 eV/atom
* total magnetic moment: 0.0 μB per cell
* formation energy: 56 meV per atom

Cell and atoms, written as POSCAR:
```
BaLiRh
1.0
-2.535 3.395 0.543
-2.547 -1.382 -3.248
-0.810 -1.259 4.088
Li Rh Ba
1 1 1
Direct
0.000 0.333 0.667
0.000 0.667 0.333
0.500 0.000 0.000
```